# 1
Compound: ZnH8C4N2O6
Source: OQMD
Functional: GGA-PBE
Structure: optimized geometry

abc: 7.682 7.142 8.299
angles: 90.00 116.42 90.00
Positions (direct):
H1 0.410 0.959 0.878
C1 0.170 0.356 0.869
H2 0.482 0.878 0.103
N1 0.876 0.587 0.479
C2 0.330 0.643 0.631
N2 0.124 0.087 0.521
H3 0.394 0.239 0.185
H4 0.910 0.541 0.378
N3 0.624 0.413 0.021
H5 0.894 0.261 0.685
H6 0.982 0.622 0.603
O1 0.655 0.984 0.384
C3 0.693 0.591 0.452
H7 0.590 0.459 0.122
H8 0.106 0.761 0.315
H9 0.606 0.739 0.815
O2 0.947 0.444 0.200
H10 0.329 0.129 0.430
O3 0.260 0.258 0.167
O4 0.447 0.056 0.700
Zn1 0.250 0.500 0.250
H11 0.018 0.122 0.397
N4 0.376 0.913 0.979
C4 0.307 0.091 0.548
O5 0.740 0.758 0.833
O6 0.760 0.242 0.667
H12 0.829 0.371 0.930
O7 0.053 0.944 0.800
O8 0.155 0.516 0.884
Zn2 0.750 0.000 0.750
C5 0.830 0.856 0.131
C6 0.193 0.909 0.952
O9 0.240 0.742 0.333
H13 0.671 0.629 0.570
C7 0.807 0.409 0.048
O10 0.345 0.484 0.616
H14 0.518 0.378 0.897
H15 0.171 0.871 0.070
O11 0.553 0.556 0.300
H16 0.090 0.041 0.622
C8 0.670 0.143 0.369
O12 0.845 0.016 0.116

Summary:
E: -5.84 eV per atom
crystal system: monoclinic

---

# 2
Compound: SrZrOs2
Source: OQMD
Functional: GGA-PBE
Structure: optimized geometry

abc: 4.726 4.726 4.726
angles: 60.00 60.00 60.00
Positions (direct):
Sr1 0.750 0.750 0.750
Os1 0.250 0.250 0.250
Zr1 0.500 0.500 0.500
Os2 0.000 0.000 0.000

Summary:
E: -7.48 eV per atom
crystal system: cubic

---

# 3
Compound: Ge2W
Source: OQMD
Functional: GGA-PBE
Structure: optimized geometry

abc: 3.346 3.346 4.767
angles: 110.55 110.55 90.00
Positions (direct):
Ge1 0.662 0.662 0.325
Ge2 0.338 0.338 0.675
W1 0.000 0.000 0.000

Summary:
E: -7.34 eV per atom
crystal system: tetragonal

---

# 4
Compound: DyEr2In3CuGe2
Source: OQMD
Functional: GGA-PBE
Structure: optimized geometry

abc: 4.208 7.372 7.372
angles: 120.06 90.00 90.00
Positions (direct):
Er1 0.000 0.001 0.598
Cu1 0.000 0.998 0.998
Dy1 0.000 0.403 0.403
Er2 0.000 0.598 0.001
In1 0.500 0.243 0.000
Ge1 0.500 0.668 0.333
In2 0.500 0.000 0.243
Ge2 0.500 0.333 0.668
In3 0.500 0.756 0.756

Summary:
E: -4.41 eV per atom
crystal system: orthorhombic

---

# 5
Compound: RbBaLuTe3
Source: OQMD
Functional: GGA-PBE
Structure: optimized geometry

abc: 11.670 11.670 13.256
angles: 90.00 90.00 157.36
Positions (direct):
Rb1 0.371 0.629 0.250
Rb2 0.629 0.371 0.750
Lu1 0.000 0.000 0.000
Ba1 0.594 0.406 0.250
Te1 0.410 0.590 0.999
Te2 0.590 0.410 0.499
Te3 0.590 0.410 0.001
Te4 0.009 0.991 0.750
Lu2 0.000 0.000 0.500
Te5 0.410 0.590 0.501
Te6 0.991 0.009 0.250
Ba2 0.406 0.594 0.750

Summary:
E: -4.00 eV per atom
crystal system: orthorhombic

---

# 6
Compound: NdTmTlTe3
Source: OQMD
Functional: GGA-PBE
Structure: optimized geometry

abc: 8.072 8.072 12.203
angles: 90.00 90.00 147.37
Positions (direct):
Te1 0.356 0.644 0.043
Tl1 0.749 0.251 0.250
Te2 0.644 0.356 0.543
Tl2 0.251 0.749 0.750
Te3 0.068 0.932 0.250
Nd1 0.000 0.000 0.000
Te4 0.356 0.644 0.457
Tm1 0.553 0.447 0.750
Tm2 0.447 0.553 0.250
Te5 0.644 0.356 0.957
Te6 0.932 0.068 0.750
Nd2 0.000 0.000 0.500

Summary:
crystal system: orthorhombic
offset from the most stable computed form: 0 meV/atom

---

# 7
Compound: Ba2LiIrS6
Source: OQMD
Functional: GGA-PBE
Structure: optimized geometry

abc: 6.795 6.795 6.793
angles: 119.98 119.98 60.03
Site moments in Bohr magnetons follow the coordinates.
Positions (direct):
S1 0.245 0.753 0.753  0.18
S2 0.753 0.245 0.753  0.18
S3 0.246 0.246 0.243  0.18
Ba1 0.250 0.250 0.750  0.01
S4 0.755 0.247 0.247  0.18
S5 0.247 0.755 0.247  0.18
S6 0.754 0.754 0.757  0.18
Ba2 0.750 0.750 0.250  0.01
Li1 0.500 0.500 0.500  0.00
Ir1 0.000 0.000 0.000  0.34

Summary:
E: -4.82 eV per atom
crystal system: monoclinic

---

# 8
Compound: AlCuOs2
Source: OQMD
Functional: GGA-PBE
Structure: optimized geometry

abc: 4.274 4.274 4.274
angles: 60.00 60.00 60.00
Positions (direct):
Al1 0.500 0.500 0.500
Os1 0.750 0.750 0.750
Cu1 0.250 0.250 0.250
Os2 0.000 0.000 0.000

Summary:
E: -7.36 eV per atom
crystal system: cubic

---

# 9
Compound: NbSCl
Source: OQMD
Functional: GGA-PBE
Structure: optimized geometry

abc: 7.108 7.108 7.108
angles: 60.00 60.00 60.00
Positions (direct):
Cl1 0.618 0.618 0.146
Cl2 0.618 0.618 0.618
S1 0.117 0.648 0.117
S2 0.117 0.117 0.648
Nb1 0.354 0.354 0.938
S3 0.117 0.117 0.117
S4 0.648 0.117 0.117
Cl3 0.146 0.618 0.618
Nb2 0.354 0.354 0.354
Nb3 0.938 0.354 0.354
Nb4 0.354 0.938 0.354
Cl4 0.618 0.146 0.618

Summary:
E: -6.52 eV per atom
crystal system: cubic

---

# 10
Compound: AcPrSm
Source: OQMD
Functional: GGA-PBE
Structure: optimized geometry

abc: 5.732 5.732 5.732
angles: 60.00 60.00 60.00
Positions (direct):
Sm1 0.000 0.000 0.000
Pr1 0.750 0.750 0.750
Ac1 0.250 0.250 0.250

Summary:
formation energy from the elements: 0.65 eV/atom
crystal system: cubic
offset from the most stable computed form: 0 meV/atom

---

# 11
Compound: LiNdZnS3
Source: OQMD
Functional: GGA-PBE
Structure: optimized geometry

abc: 11.487 3.976 11.209
angles: 90.00 90.00 90.00
Positions (direct):
S1 0.570 0.750 0.365
S2 0.212 0.750 0.825
Nd1 0.968 0.750 0.680
Zn1 0.240 0.250 0.709
S3 0.930 0.250 0.865
Li1 0.385 0.750 0.484
Zn2 0.260 0.750 0.209
S4 0.430 0.250 0.635
S5 0.403 0.750 0.068
Nd2 0.532 0.250 0.180
S6 0.903 0.750 0.432
S7 0.788 0.250 0.175
Zn3 0.740 0.250 0.791
S8 0.070 0.750 0.135
Nd3 0.468 0.750 0.820
S9 0.288 0.250 0.325
Nd4 0.032 0.250 0.320
S10 0.712 0.750 0.675
S11 0.597 0.250 0.932
S12 0.097 0.250 0.568
Zn4 0.760 0.750 0.291
Li2 0.115 0.250 0.984
Li3 0.615 0.250 0.516
Li4 0.885 0.750 0.016

Summary:
crystal system: orthorhombic
offset from the most stable computed form: 0 meV/atom

---

# 12
Compound: Tb3AlO6
Source: OQMD
Functional: GGA-PBE
Structure: optimized geometry

abc: 7.087 7.087 5.381
angles: 90.00 90.00 102.75
Positions (direct):
O1 0.544 0.456 0.870
O2 0.915 0.393 0.831
O3 0.607 0.085 0.831
Tb1 0.798 0.586 0.530
O4 0.085 0.607 0.331
O5 0.825 0.855 0.301
Al1 0.694 0.306 0.994
Tb2 0.414 0.202 0.530
O6 0.393 0.915 0.331
O7 0.285 0.715 0.821
Tb3 0.104 0.896 0.075
O8 0.456 0.544 0.370
Tb4 0.586 0.798 0.030
O9 0.715 0.285 0.321
O10 0.145 0.175 0.301
Al2 0.306 0.694 0.494
Tb5 0.202 0.414 0.030
Tb6 0.896 0.104 0.575
O11 0.175 0.145 0.801
O12 0.855 0.825 0.801

Summary:
E: -8.17 eV per atom
crystal system: orthorhombic

---

> What is the formula in the tenth record?

AcPrSm